{"formula": "PuCd8Pd4", "functional": "GGA-PBE", "state": "relaxed", "spacegroup": "I4/mmm", "energy_ev_per_atom": -3.539, "delta_e_f_ev_per_atom": -0.275, "lattice_angstrom": [[-0.865, 2.042, 5.283], [6.283, 1.094, 3.713], [-0.118, 7.375, 0.237]], "species": ["Cd", "Pd", "Pd", "Pu", "Cd", "Cd", "Cd", "Cd", "Pd", "Cd", "Cd", "Pd", "Cd"], "frac_coords": [[0.661, 0.339, 0.339], [0.500, 0.500, 0.000], [0.000, 0.500, 0.000], [0.000, 0.000, 0.000], [0.000, 0.339, 0.661], [0.339, 0.661, 0.661], [0.282, 0.218, 0.218], [0.000, 0.661, 0.339], [0.500, 0.000, 0.500], [0.500, 0.782, 0.218], [0.718, 0.782, 0.782], [0.000, 0.000, 0.500], [0.500, 0.218, 0.782]]}